VASP calculation (PBE-GGA) on crystalline Ac6CuIr2Cl3 at its relaxed geometry.

mass density = 8.0 Mg/m³
formation energy without anion corrections = -1.1252 eV per atom

a b c (Å): 20.2766 4.3929 9.4077
angles (deg): 90.00 109.25 90.00
Space group C2/m (No. 12)
Symmetry-distinct sites (fractional):
Ac (0.0126, 0.0000, 0.2312) x4
Ac (0.1604, 0.5000, 0.1142) x4
Ac (0.1784, 0.5000, 0.5543) x4
Cu (0.0000, 0.5000, 0.0000) x2
Ir (0.1655, 0.0000, 0.3307) x4
Cl (0.0000, 0.5000, 0.5000) x2
Cl (0.1659, 0.0000, 0.8392) x4